GdPaTcAu: relaxed, PBE.

abc: 7.060 7.060 7.060
angles: 90.00 90.00 90.00
Space group F-43m (No. 216)
Symmetry-distinct sites (fractional):
Gd (0.000, 0.000, 0.000)
Pa (0.000, 0.000, 0.500)
Tc (0.250, 0.250, 0.750)
Au (0.250, 0.250, 0.250)

Values from the calculation:
The calculation puts the formation energy at -0.197 eV per atom. Its spin magnetization is 29.50 Bohr magnetons per cell.